#1
DFT (PBE) results for a relaxed structure of BaMgPd3.

abc: 5.380 5.380 5.380
angles: 90.00 90.00 90.00
Element x y z (fractional)
Mg  0.500  0.500  0.500
Pd  0.500  0.000  0.000
Pd  0.000  0.000  0.500
Ba  0.000  0.000  0.000
Pd  0.000  0.500  0.000

SG	No. 221
DOS(E_F)	1.499	states/eV per cell
mass density	5.1	g cm⁻³


#2
DFT (PBE) results for a relaxed structure of BaMgPd3.

abc: 6.293 6.415 6.415
angles: 120.01 90.00 90.00
Element x y z (fractional)
Pd  0.250  0.380  0.190
Ba  0.750  0.667  0.333
Pd  0.250  0.810  0.190
Pd  0.750  0.190  0.810
Mg  0.000  0.000  0.000
Mg  0.500  0.000  0.000
Pd  0.750  0.190  0.380
Ba  0.250  0.333  0.667
Pd  0.750  0.620  0.810
Pd  0.250  0.810  0.620

SG	No. 194
DOS(E_F)	1.569	states/eV per cell
mass density	7.1	g cm⁻³


#3
DFT (PBE) results for a relaxed structure of BaMgPd3.

abc: 4.900 4.900 4.900
angles: 90.00 90.00 90.00
Element x y z (fractional)
Pd  0.500  0.000  0.000
Ba  0.500  0.500  0.500
Mg  0.000  0.000  0.000
Pd  0.000  0.500  0.000
Pd  0.000  0.000  0.500

SG	No. 221
DOS(E_F)	2.230	states/eV per cell
mass density	6.8	g cm⁻³


Preferred: #2; penalty for the next structure: 19.6 kJ/mol of atoms.